Tm2PuGa6 | PBE-GGA | optimized geometry

Output
The excess energy over the best structure of this formula in the dataset comes out at 0.139 eV/atom. The value obtained for the total energy is -4.98 eV per atom.

Cell lengths 4.3048, 7.0566, 13.0341 Å; angles 90.00, 90.00, 90.00 degrees
Closest atoms and distances in Å follow each position.
Space group Immm (No. 71)
One atom of each set of equivalent atoms:
Tm: 0.0000 0.0000 0.1237 x4  10 Ga 2.83-3.16
Pu: 0.0000 0.5000 0.0000 x2  4 Ga 3.10
Ga: 0.0000 0.1937 0.3137 x8  4 Ga 2.58-2.83, 1 Tm 2.83
Ga: 0.0000 0.3152 0.5000 x4  3 Ga 2.58-2.61

TmPuGa2 | PBE-GGA | optimized geometry

Output
The excess energy over the best structure of this formula in the dataset comes out at 0.030 eV/atom. The value obtained for the total energy is -6.60 eV per atom.

Cell lengths 5.0520, 5.0520, 3.5317 Å; angles 90.00, 90.00, 90.00 degrees
Closest atoms and distances in Å follow each position.
Space group P4/mmm (No. 123)
One atom of each set of equivalent atoms:
Tm: 0.0000 0.0000 0.0000 x1  8 Ga 3.08
Pu: 0.5000 0.5000 0.0000 x1  8 Ga 3.08
Ga: 0.0000 0.5000 0.5000 x2  4 Tm 3.08, 4 Pu 3.08

Tm2PuGa6 | PBE-GGA | optimized geometry

Output
The excess energy over the best structure of this formula in the dataset comes out at 0.000 eV/atom. The value obtained for the total energy is -5.12 eV per atom.

Cell lengths 7.7155, 7.7155, 3.4860 Å; angles 90.00, 90.00, 120.00 degrees
Closest atoms and distances in Å follow each position.
Space group P6/mmm (No. 191)
One atom of each set of equivalent atoms:
Tm: 0.3333 0.6667 0.0000 x2  12 Ga 3.10
Pu: 0.0000 0.0000 0.0000 x1  12 Ga 3.12, 2 Pu 3.49
Ga: 0.0000 0.3350 0.5000 x6  3 Ga 2.55-2.58

TmPuGa2 | PBE-GGA | optimized geometry

Output
The excess energy over the best structure of this formula in the dataset comes out at 0.000 eV/atom. The value obtained for the total energy is -6.63 eV per atom.

Cell lengths 7.1038, 7.1038, 7.1038 Å; angles 90.00, 90.00, 90.00 degrees
Closest atoms and distances in Å follow each position.
Space group Fm-3m (No. 225)
One atom of each set of equivalent atoms:
Tm: 0.0000 0.0000 0.0000 x4  8 Ga 3.08
Pu: 0.0000 0.0000 0.5000 x4  8 Ga 3.08
Ga: 0.2500 0.2500 0.2500 x8  4 Tm 3.08, 4 Pu 3.08

TmPuGa2 | PBE-GGA | optimized geometry

Output
The excess energy over the best structure of this formula in the dataset comes out at 0.012 eV/atom. The value obtained for the total energy is -6.62 eV per atom.

Cell lengths 3.2476, 3.2476, 8.3318 Å; angles 90.00, 90.00, 90.00 degrees
Closest atoms and distances in Å follow each position.
Space group P4/mmm (No. 123)
One atom of each set of equivalent atoms:
Tm: 0.0000 0.0000 0.0000 x1  8 Ga 3.07, 4 Tm 3.25
Pu: 0.0000 0.0000 0.5000 x1  8 Ga 3.13, 4 Pu 3.25
Ga: 0.5000 0.5000 0.2449 x2  4 Tm 3.07, 4 Pu 3.13, 4 Ga 3.25

TmPu2Ga9 | PBE-GGA | optimized geometry

Output
The excess energy over the best structure of this formula in the dataset comes out at 0.142 eV/atom. The value obtained for the total energy is -5.31 eV per atom.

Cell lengths 5.4676, 5.4676, 27.2610 Å; angles 90.00, 90.00, 120.00 degrees
Closest atoms and distances in Å follow each position.
Space group R-3m (No. 166, hexagonal axes)
One atom of each set of equivalent atoms:
Tm: 0.0000 0.0000 0.0000 x3  6 Ga 3.16
Pu: 0.0000 0.0000 0.1425 x6  12 Ga 3.16-3.30, 3 Pu 3.42
Ga: 0.0000 0.0000 0.3346 x6  6 Ga 2.77-2.80
Ga: 0.0000 0.0000 0.5000 x3  6 Ga 2.76
Ga: 0.0060 0.5030 0.9159 x18  7 Ga 2.68-2.80

TmPu3Ga12 | PBE-GGA | optimized geometry

Output
The value obtained for the total energy is -5.40 eV per atom.

Cell lengths 4.2176, 4.2176, 16.9663 Å; angles 90.00, 90.00, 90.00 degrees
Closest atoms and distances in Å follow each position.
Space group P4/mmm (No. 123)
One atom of each set of equivalent atoms:
Tm: 0.0000 0.0000 0.0000 x1  12 Ga 2.98-3.00
Pu: 0.0000 0.0000 0.2480 x2  12 Ga 2.95-2.98
Pu: 0.0000 0.0000 0.5000 x1  12 Ga 2.98-3.02
Ga: 0.0000 0.5000 0.1260 x4  2 Pu 2.95, 8 Ga 2.98-3.00, 2 Tm 3.00
Ga: 0.0000 0.5000 0.3723 x4  8 Ga 2.96-3.02, 4 Pu 2.98-3.02
Ga: 0.5000 0.5000 0.0000 x1  4 Tm 2.98, 8 Ga 3.00
Ga: 0.5000 0.5000 0.2501 x2  8 Ga 2.96-2.98, 4 Pu 2.98
Ga: 0.5000 0.5000 0.5000 x1  4 Pu 2.98, 8 Ga 3.02

TmPuGa6 | PBE-GGA | optimized geometry

Output
The value obtained for the total energy is -5.06 eV per atom.

Cell lengths 6.1596, 6.1596, 4.6609 Å; angles 90.00, 90.00, 120.00 degrees
Closest atoms and distances in Å follow each position.
Space group P-6m2 (No. 187)
One atom of each set of equivalent atoms:
Tm: 0.0000 0.0000 0.0000 x1  12 Ga 3.02-3.08
Pu: 0.3333 0.6667 0.5000 x1  12 Ga 3.02-3.08
Ga: 0.3594 0.1797 0.5000 x3  6 Ga 2.84-2.85, 2 Tm 3.02, 2 Pu 3.08
Ga: 0.5140 0.0280 0.0000 x3  6 Ga 2.82-2.85, 2 Pu 3.02, 2 Tm 3.08

TmPuZn2Ga2 | PBE-GGA | optimized geometry

Output
The value obtained for the total energy is -4.95 eV per atom.

Cell lengths 4.4278, 4.4278, 7.1667 Å; angles 90.00, 90.00, 120.00 degrees
Closest atoms and distances in Å follow each position.
Space group P-3m1 (No. 164)
One atom of each set of equivalent atoms:
Tm: 0.0000 0.0000 0.0000 x1  6 Zn 3.04, 6 Ga 3.08
Pu: 0.0000 0.0000 0.5000 x1  6 Ga 3.16, 6 Zn 3.21
Zn: 0.3333 0.6667 0.2297 x2  3 Ga 2.56
Ga: 0.3333 0.6667 0.7599 x2  3 Zn 2.56

PuUGa4 | PBE-GGA | optimized geometry

Output
The excess energy over the best structure of this formula in the dataset comes out at 0.029 eV/atom. The value obtained for the total energy is -6.55 eV per atom.

Cell lengths 3.0358, 4.7078, 8.1815 Å; angles 90.00, 90.00, 90.00 degrees
Closest atoms and distances in Å follow each position.
Space group Pmmm (No. 47)
One atom of each set of equivalent atoms:
Pu: 0.0000 0.0000 0.0000 x1  2 Pu 3.04, 12 Ga 3.12-3.13
U: 0.0000 0.5000 0.5000 x1  2 U 3.04, 12 Ga 3.11
Ga: 0.5000 0.0000 0.3342 x2  5 Ga 2.71-3.04
Ga: 0.5000 0.5000 0.1682 x2  5 Ga 2.72-3.04

PuUGa3 | PBE-GGA | optimized geometry

Output
The value obtained for the total energy is -6.78 eV per atom.

Cell lengths 8.2772, 10.1040, 5.3515 Å; angles 90.00, 90.00, 90.00 degrees
Closest atoms and distances in Å follow each position.
Space group Cmcm (No. 63)
One atom of each set of equivalent atoms:
Pu: 0.0000 0.0148 0.2500 x4  1 U 2.44, 2 Pu 2.69
U: 0.0000 0.2271 0.7500 x4  1 Pu 2.44
Ga: 0.0000 0.5000 0.0000 x4  6 Ga 2.68
Ga: 0.1621 0.3119 0.2500 x8  3 Ga 2.68, 1 U 2.82

Pu4U2Ga3 | PBE-GGA | optimized geometry

Output
The value obtained for the total energy is -10.02 eV per atom.

Cell lengths 13.6522, 10.4695, 5.3488 Å; angles 90.00, 96.23, 90.00 degrees
Closest atoms and distances in Å follow each position.
Space group C2/c (No. 15)
One atom of each set of equivalent atoms:
Pu: 0.0625 0.1234 0.0233 x8  5 Ga 3.00-3.14, 1 U 3.02, 4 Pu 3.09-3.22
Pu: 0.1192 0.3886 0.2724 x8  2 U 2.51-2.68
U: 0.2153 0.3937 0.8992 x8  2 Pu 2.51-2.68
Ga: 0.0000 0.3714 0.7500 x4  2 U 2.97, 8 Pu 2.99-3.18
Ga: 0.1674 0.1440 0.5599 x8  6 Pu 2.97-3.14, 4 U 3.07-3.21, 1 Ga 3.28

N(E_F) (states/eV/atom)
1.63; 2.02; 0.83; 1.75; 1.84; 1.36; 2.03; 0.94; 2.38; 1.84; 1.54; 2.33